DFT (GGA-PBE) results for ZrSiH after structural relaxation.

Cell: 3.6881 3.8096 5.6060 Å, 90.00 108.93 90.00°
Fractional positions:
Zr  0.1432  0.2500  0.2911
Zr  0.8568  0.7500  0.7089
Si  0.4344  0.2500  0.8682
Si  0.5656  0.7500  0.1318
H  0.2509  0.7500  0.4962
H  0.7491  0.2500  0.5038

- Energy above the lowest structure with this stoichiometry: 0 meV/atom
- Final energy: -37.8 eV for the cell shown
- Space group: No. 11
- Total magnetization: 0.0 Bohr magnetons per cell